1.
Compound: InCoP
Source: the Alexandria database
Functional: PBE
Structure: relaxed

Unit cell a=5.5323 b=3.1856 c=12.0699 alpha=90.00 beta=110.76 gamma=90.00
Sites, in units of the cell vectors:
Co  0.8828  0.0000  0.1789
Co  0.0237  0.5000  0.9054
Co  0.0237  0.0000  0.4054
Co  0.8828  0.5000  0.6789
P  0.0148  0.0000  0.0275
P  0.0148  0.5000  0.5275
P  0.7593  0.5000  0.2811
P  0.7593  0.0000  0.7811
In  0.2870  0.0000  0.7776
In  0.5366  0.0000  0.5232
In  0.5366  0.5000  0.0232
In  0.2870  0.5000  0.2776

Output
Fermi-level density of states, states/eV/cell: 8.30
Space group: Cm, No. 8
ΔH_f (0 K), eV per atom: -0.149

=====

2.
Compound: InCoP
Source: the Alexandria database
Functional: PBE
Structure: relaxed

Unit cell a=3.7833 b=3.7833 c=3.8892 alpha=90.00 beta=90.00 gamma=120.00
Sites, in units of the cell vectors:
P  0.3333  0.6667  0.8332
Co  0.0000  0.0000  0.8337
In  0.6667  0.3333  0.3331

Output
Fermi-level density of states, states/eV/cell: 1.92
Space group: P-6m2, No. 187
ΔH_f (0 K), eV per atom: -0.070

=====

3.
Compound: InCoP2
Source: the Alexandria database
Functional: PBE
Structure: relaxed

Unit cell a=5.7034 b=5.7034 c=5.7034 alpha=151.62 beta=132.32 gamma=56.42
Sites, in units of the cell vectors:
P  0.5673  0.5673  0.0000
P  0.9327  0.9327  0.0000
In  0.2500  0.7500  0.5000
Co  0.7500  0.2500  0.5000

Output
Fermi-level density of states, states/eV/cell: 1.96
Space group: Immm, No. 71
ΔH_f (0 K), eV per atom: 0.148
ΔE to the lowest computed polymorph, eV/f.u.: 1.030

=====

4.
Compound: InCoP2
Source: the Alexandria database
Functional: PBE
Structure: relaxed

Unit cell a=4.9463 b=4.9463 c=4.9463 alpha=142.55 beta=117.32 gamma=75.35
Sites, in units of the cell vectors:
P  0.7416  0.2416  0.5000
P  0.9603  0.9603  0.0000
Co  0.5447  0.5447  0.0000
In  0.2535  0.7535  0.5000

Output
Fermi-level density of states, states/eV/cell: 3.23
Space group: Imm2, No. 44
ΔH_f (0 K), eV per atom: 0.387
ΔE to the lowest computed polymorph, eV/f.u.: 1.986

=====

5.
Compound: InCoP5
Source: the Alexandria database
Functional: PBE
Structure: relaxed

Unit cell a=4.4223 b=4.4223 c=6.8100 alpha=90.00 beta=90.00 gamma=90.00
Sites, in units of the cell vectors:
Co  0.0000  0.0000  0.0000
In  0.0000  0.0000  0.5000
P  0.5000  0.5000  0.0000
P  0.5000  0.0000  0.8375
P  0.0000  0.5000  0.8375
P  0.5000  0.0000  0.1625
P  0.0000  0.5000  0.1625

Output
Fermi-level density of states, states/eV/cell: 4.68
Space group: P4/mmm, No. 123
ΔH_f (0 K), eV per atom: 0.330
ΔE to the lowest computed polymorph, eV/f.u.: 0.656

=====

6.
Compound: In2CoP
Source: the Alexandria database
Functional: PBE
Structure: relaxed

Unit cell a=4.4196 b=4.4272 c=3.6201 alpha=90.00 beta=90.00 gamma=90.00
Sites, in units of the cell vectors:
P  0.5000  0.0000  0.5000
In  0.0000  0.0000  0.0000
In  0.5000  0.5000  0.0000
Co  0.0000  0.5000  0.5000

Output
Fermi-level density of states, states/eV/cell: 1.47
Space group: P4/mmm, No. 123
ΔH_f (0 K), eV per atom: 0.400

=====

7.
Compound: In2CoP
Source: the Alexandria database
Functional: PBE
Structure: relaxed

Unit cell a=4.7483 b=4.7483 c=3.2724 alpha=90.01 beta=90.01 gamma=105.21
Sites, in units of the cell vectors:
Co  0.0000  0.5000  0.5000
P  0.5000  0.0000  0.5000
In  0.0000  0.0000  0.0000
In  0.5000  0.5000  0.0000

Output
Fermi-level density of states, states/eV/cell: 3.20
Space group: Cmmm, No. 65
ΔH_f (0 K), eV per atom: 0.408

=====

8.
Compound: InCoP
Source: the Alexandria database
Functional: PBE
Structure: relaxed

Unit cell a=5.0683 b=3.4362 c=11.6129 alpha=90.00 beta=101.58 gamma=90.00
Sites, in units of the cell vectors:
Co  0.2197  0.0000  0.6608
Co  0.0140  0.5000  0.9346
Co  0.2197  0.5000  0.1608
Co  0.0140  0.0000  0.4346
P  0.9905  0.5000  0.5723
P  0.9905  0.0000  0.0723
P  0.1117  0.5000  0.3304
P  0.1117  0.0000  0.8304
In  0.6223  0.0000  0.2431
In  0.5376  0.5000  0.0031
In  0.5376  0.0000  0.5031
In  0.6223  0.5000  0.7431

Output
Fermi-level density of states, states/eV/cell: 7.30
Space group: Cm, No. 8
ΔH_f (0 K), eV per atom: -0.190

=====

9.
Compound: In2CoP
Source: the Alexandria database
Functional: PBE
Structure: relaxed

Unit cell a=4.6849 b=4.6849 c=4.6849 alpha=60.00 beta=60.00 gamma=60.00
Sites, in units of the cell vectors:
In  0.2500  0.2500  0.2500
In  0.0000  0.0000  0.0000
P  0.7500  0.7500  0.7500
Co  0.5000  0.5000  0.5000

Output
Fermi-level density of states, states/eV/cell: 2.21
Space group: F-43m, No. 216
ΔH_f (0 K), eV per atom: 0.559

=====

10.
Compound: InCo2P
Source: the Alexandria database
Functional: PBE
Structure: relaxed

Unit cell a=6.6429 b=6.6429 c=6.6429 alpha=152.24 beta=155.32 gamma=37.48
Sites, in units of the cell vectors:
Co  0.7620  0.2620  0.5000
Co  0.0861  0.0861  0.0000
P  0.2031  0.7031  0.5000
In  0.4489  0.4489  0.0000

Output
Fermi-level density of states, states/eV/cell: 3.58
Space group: Imm2, No. 44
ΔH_f (0 K), eV per atom: -0.173

=====

11.
Compound: In2CoP
Source: the Alexandria database
Functional: PBE
Structure: relaxed

Unit cell a=4.6016 b=4.6016 c=5.1507 alpha=73.18 beta=73.18 gamma=46.30
Sites, in units of the cell vectors:
Co  0.2500  0.2500  0.2500
In  0.9961  0.9961  0.0169
In  0.5039  0.5039  0.4831
P  0.7500  0.7500  0.7500

Output
Fermi-level density of states, states/eV/cell: 3.31
Space group: C2/m, No. 12
ΔH_f (0 K), eV per atom: 0.440

=====

12.
Compound: InCoP3
Source: the Alexandria database
Functional: PBE
Structure: relaxed

Unit cell a=4.4637 b=4.4637 c=4.4637 alpha=90.00 beta=90.00 gamma=90.00
Sites, in units of the cell vectors:
P  0.0000  0.0000  0.5000
P  0.0000  0.5000  0.0000
P  0.5000  0.0000  0.0000
Co  0.0000  0.0000  0.0000
In  0.5000  0.5000  0.5000

Output
Fermi-level density of states, states/eV/cell: 5.36
Space group: Pm-3m, No. 221
ΔH_f (0 K), eV per atom: 0.471
ΔE to the lowest computed polymorph, eV/f.u.: 0.000

=====

13.
Compound: InCoP2
Source: the Alexandria database
Functional: PBE
Structure: relaxed

Unit cell a=3.2963 b=3.7265 c=5.8062 alpha=72.01 beta=90.00 gamma=90.00
Sites, in units of the cell vectors:
P  0.5000  0.3796  0.1741
P  0.0000  0.9734  0.1961
In  0.5000  0.7605  0.6895
Co  0.0000  0.3865  0.4404

Output
Fermi-level density of states, states/eV/cell: 1.34
Space group: Pm, No. 6
ΔH_f (0 K), eV per atom: -0.021
ΔE to the lowest computed polymorph, eV/f.u.: 0.355

=====

14.
Compound: In2CoP
Source: the Alexandria database
Functional: PBE
Structure: relaxed

Unit cell a=6.6593 b=6.6593 c=6.4257 alpha=58.79 beta=58.79 gamma=90.00
Sites, in units of the cell vectors:
Co  0.7500  0.2500  0.5000
Co  0.0000  0.0000  0.0000
In  0.8750  0.8729  0.7500
In  0.3750  0.3771  0.7500
In  0.1271  0.6250  0.2500
In  0.6229  0.1250  0.2500
P  0.5000  0.5000  0.0000
P  0.2500  0.7500  0.5000

Output
Fermi-level density of states, states/eV/cell: 18.82
Space group: I-42d, No. 122
ΔH_f (0 K), eV per atom: 0.574

=====

15.
Compound: InCoP2
Source: the Alexandria database
Functional: PBE
Structure: relaxed

Unit cell a=4.4714 b=4.4714 c=4.4714 alpha=60.00 beta=60.00 gamma=60.00
Sites, in units of the cell vectors:
P  0.0000  0.0000  0.0000
P  0.2500  0.2500  0.2500
Co  0.5000  0.5000  0.5000
In  0.7500  0.7500  0.7500

Output
Fermi-level density of states, states/eV/cell: 3.17
Space group: F-43m, No. 216
ΔH_f (0 K), eV per atom: 0.645
ΔE to the lowest computed polymorph, eV/f.u.: 3.018

=====

16.
Compound: In2Co2P
Source: the Alexandria database
Functional: PBE
Structure: relaxed

Unit cell a=7.8581 b=7.8581 c=2.8061 alpha=90.00 beta=90.00 gamma=90.00
Sites, in units of the cell vectors:
In  0.8123  0.6877  0.0000
In  0.3123  0.8123  0.0000
In  0.1877  0.3123  0.0000
In  0.6877  0.1877  0.0000
P  0.5000  0.5000  0.0000
P  0.0000  0.0000  0.0000
Co  0.1023  0.6023  0.5000
Co  0.3977  0.1023  0.5000
Co  0.8977  0.3977  0.5000
Co  0.6023  0.8977  0.5000

Output
Fermi-level density of states, states/eV/cell: 13.00
Space group: P4/mbm, No. 127
ΔH_f (0 K), eV per atom: 0.485
ΔE to the lowest computed polymorph, eV/f.u.: 2.182

=====

17.
Compound: InCoP2
Source: the Alexandria database
Functional: PBE
Structure: relaxed

Unit cell a=3.0306 b=2.8282 c=7.7804 alpha=90.00 beta=90.00 gamma=90.00
Sites, in units of the cell vectors:
Co  0.5000  0.5000  0.2500
P  0.0000  0.0000  0.0923
P  0.0000  0.0000  0.4077
In  0.5000  0.5000  0.7500

Output
Fermi-level density of states, states/eV/cell: 1.64
Space group: Pmmm, No. 47
ΔH_f (0 K), eV per atom: 0.054
ΔE to the lowest computed polymorph, eV/f.u.: 0.654

=====

18.
Compound: In2Co2P
Source: the Alexandria database
Functional: PBE
Structure: relaxed

Unit cell a=3.3734 b=3.3734 c=8.0926 alpha=77.97 beta=77.97 gamma=90.00
Sites, in units of the cell vectors:
In  0.6072  0.6072  0.7856
In  0.3928  0.3928  0.2144
Co  0.2500  0.7500  0.5000
Co  0.7500  0.2500  0.5000
P  0.0000  0.0000  0.0000

Output
Fermi-level density of states, states/eV/cell: 3.75
Space group: I4/mmm, No. 139
ΔH_f (0 K), eV per atom: 0.367
ΔE to the lowest computed polymorph, eV/f.u.: 1.594

=====

19.
Compound: InCoP
Source: the Alexandria database
Functional: PBE
Structure: relaxed

Unit cell a=6.5678 b=5.9481 c=5.9481 alpha=150.79 beta=154.75 gamma=37.88
Sites, in units of the cell vectors:
Co  0.0002  0.0300  0.9702
P  0.5010  0.6199  0.8811
In  0.4988  0.3502  0.1487

Output
Fermi-level density of states, states/eV/cell: 2.01
Space group: Cm, No. 8
ΔH_f (0 K), eV per atom: -0.041

=====

20.
Compound: InCoP2
Source: the Alexandria database
Functional: PBE
Structure: relaxed

Unit cell a=3.5450 b=4.2083 c=4.2083 alpha=90.00 beta=90.00 gamma=90.00
Sites, in units of the cell vectors:
Co  0.5000  0.5000  0.0000
P  0.0000  0.5000  0.5000
P  0.0000  0.0000  0.0000
In  0.5000  0.0000  0.5000

Output
Fermi-level density of states, states/eV/cell: 3.45
Space group: P4/mmm, No. 123
ΔH_f (0 K), eV per atom: 0.576
ΔE to the lowest computed polymorph, eV/f.u.: 2.741

=====

21.
Compound: In2CoP
Source: the Alexandria database
Functional: PBE
Structure: relaxed

Unit cell a=3.7696 b=4.0340 c=5.1491 alpha=66.88 beta=90.00 gamma=90.00
Sites, in units of the cell vectors:
In  0.5000  0.2768  0.3211
In  0.0000  0.9740  0.9260
P  0.0000  0.6856  0.5024
Co  0.5000  0.5636  0.7505

Output
Fermi-level density of states, states/eV/cell: 1.90
Space group: Pm, No. 6
ΔH_f (0 K), eV per atom: -0.032

=====

22.
Compound: InCoP2
Source: the Alexandria database
Functional: PBE
Structure: relaxed

Unit cell a=2.9923 b=2.9924 c=7.1649 alpha=90.00 beta=90.00 gamma=90.00
Sites, in units of the cell vectors:
P  0.0000  0.0000  0.0897
P  0.5000  0.5000  0.2855
Co  0.0000  0.0000  0.4144
In  0.5000  0.5000  0.7104

Output
Fermi-level density of states, states/eV/cell: 2.15
Space group: P4mm, No. 99
ΔH_f (0 K), eV per atom: 0.160
ΔE to the lowest computed polymorph, eV/f.u.: 1.078

=====

23.
Compound: InCoP
Source: the Alexandria database
Functional: PBE
Structure: relaxed

Unit cell a=3.7482 b=3.7482 c=12.8322 alpha=90.00 beta=90.00 gamma=120.00
Sites, in units of the cell vectors:
P  0.3333  0.6667  0.2354
P  0.6667  0.3333  0.9020
P  0.0000  0.0000  0.5687
In  0.6667  0.3333  0.3823
In  0.0000  0.0000  0.0490
In  0.3333  0.6667  0.7157
Co  0.6667  0.3333  0.5814
Co  0.0000  0.0000  0.2481
Co  0.3333  0.6667  0.9147

Output
Fermi-level density of states, states/eV/cell: 4.71
Space group: R3m, No. 160
ΔH_f (0 K), eV per atom: -0.206

=====

24.
Compound: InCoP
Source: the Alexandria database
Functional: PBE
Structure: relaxed

Unit cell a=4.1112 b=4.1112 c=4.1112 alpha=60.00 beta=60.00 gamma=60.00
Sites, in units of the cell vectors:
Co  0.7500  0.7500  0.7500
P  0.5000  0.5000  0.5000
In  0.0000  0.0000  0.0000

Output
Fermi-level density of states, states/eV/cell: 2.35
Space group: F-43m, No. 216
ΔH_f (0 K), eV per atom: 0.050

=====

25.
Compound: In2Co2P
Source: the Alexandria database
Functional: PBE
Structure: relaxed

Unit cell a=6.0714 b=6.0714 c=4.2140 alpha=90.00 beta=90.00 gamma=90.00
Sites, in units of the cell vectors:
In  0.6615  0.8385  0.5000
In  0.8385  0.3385  0.5000
In  0.1615  0.6615  0.5000
In  0.3385  0.1615  0.5000
Co  0.8371  0.6629  0.0000
Co  0.3371  0.8371  0.0000
Co  0.1629  0.3371  0.0000
Co  0.6629  0.1629  0.0000
P  0.0000  0.0000  0.0000
P  0.5000  0.5000  0.0000

Output
Fermi-level density of states, states/eV/cell: 9.91
Space group: P4/mbm, No. 127
ΔH_f (0 K), eV per atom: 0.048
ΔE to the lowest computed polymorph, eV/f.u.: 0.000

=====

26.
Compound: InCo2P
Source: the Alexandria database
Functional: PBE
Structure: relaxed

Unit cell a=3.0900 b=3.0900 c=5.9429 alpha=90.00 beta=90.00 gamma=90.00
Sites, in units of the cell vectors:
In  0.0000  0.0000  0.4777
Co  0.0000  0.0000  0.9545
Co  0.5000  0.5000  0.2174
P  0.5000  0.5000  0.8505

Output
Fermi-level density of states, states/eV/cell: 4.00
Space group: P4mm, No. 99
ΔH_f (0 K), eV per atom: -0.014

=====

27.
Compound: InCoP2
Source: the Alexandria database
Functional: PBE
Structure: relaxed

Unit cell a=4.4636 b=4.4636 c=4.4636 alpha=60.00 beta=60.00 gamma=60.00
Sites, in units of the cell vectors:
P  0.2500  0.2500  0.2500
P  0.7500  0.7500  0.7500
Co  0.0000  0.0000  0.0000
In  0.5000  0.5000  0.5000

Output
Fermi-level density of states, states/eV/cell: 1.67
Space group: Fm-3m, No. 225
ΔH_f (0 K), eV per atom: 0.516
ΔE to the lowest computed polymorph, eV/f.u.: 2.502

=====

28.
Compound: InCo2P
Source: the Alexandria database
Functional: PBE
Structure: relaxed

Unit cell a=7.9885 b=7.9885 c=7.9885 alpha=21.71 beta=21.71 gamma=21.71
Sites, in units of the cell vectors:
Co  0.2606  0.2606  0.2606
Co  0.0066  0.0066  0.0066
P  0.7280  0.7280  0.7280
In  0.5048  0.5048  0.5048

Output
Fermi-level density of states, states/eV/cell: 4.93
Space group: R3m, No. 160
ΔH_f (0 K), eV per atom: 0.257